{
  "formula": "TaSiAgRh2",
  "functional": "PBE",
  "state": "optimized geometry",
  "mass_density_g_cm3": 8.8,
  "e_form_raw_mev_per_atom": 1528,
  "spacegroup": "No. 123",
  "magnetic_moment_mub_per_cell": 0.00,
  "lattice_angstrom": [[-2.676, 1.465, 3.699], [-2.660, -3.344, -0.600], [2.663, -2.653, 2.977]],
  "species": ["Si", "Rh", "Rh", "Ag", "Ta"],
  "frac_coords": [[0.000, 0.500, 0.000], [0.000, 0.000, 0.500], [0.500, 0.000, 0.000], [0.000, 0.000, 0.000], [0.500, 0.500, 0.500]]
}

{
  "formula": "Si2TcAgRh",
  "functional": "PBE",
  "state": "optimized geometry",
  "mass_density_g_cm3": 5.9,
  "e_form_raw_mev_per_atom": 1638,
  "spacegroup": "No. 123",
  "magnetic_moment_mub_per_cell": 3.99,
  "lattice_angstrom": [[-2.977, -3.449, 0.116], [2.342, -1.887, 3.967], [-2.704, 2.427, 2.751]],
  "species": ["Si", "Si", "Rh", "Tc", "Ag"],
  "frac_coords": [[0.000, 0.000, 0.500], [0.500, 0.000, 0.000], [0.000, 0.500, 0.000], [0.500, 0.500, 0.500], [0.000, 0.000, 0.000]]
}

{
  "formula": "Si2AgTeRh",
  "functional": "PBE",
  "state": "optimized geometry",
  "mass_density_g_cm3": 5.0,
  "e_form_raw_mev_per_atom": 1589,
  "spacegroup": "No. 123",
  "magnetic_moment_mub_per_cell": 0.00,
  "lattice_angstrom": [[5.122, 0.000, 0.000], [0.000, 5.037, 0.000], [0.000, 0.000, 5.122]],
  "species": ["Si", "Si", "Te", "Rh", "Ag"],
  "frac_coords": [[0.000, 0.000, 0.500], [0.500, 0.000, 0.000], [0.000, 0.000, 0.000], [0.500, 0.500, 0.500], [0.000, 0.500, 0.000]]
}

{
  "formula": "Y2Si2AgRh5",
  "functional": "PBE",
  "state": "optimized geometry",
  "mass_density_g_cm3": 8.5,
  "e_form_raw_mev_per_atom": -822,
  "spacegroup": "No. 127",
  "magnetic_moment_mub_per_cell": 0.00,
  "lattice_angstrom": [[-1.168, 3.091, -1.033], [-8.697, -1.886, 4.194], [3.182, 4.010, 8.401]],
  "species": ["Y", "Y", "Y", "Y", "Si", "Si", "Si", "Si", "Ag", "Ag", "Rh", "Rh", "Rh", "Rh", "Rh", "Rh", "Rh", "Rh", "Rh", "Rh"],
  "frac_coords": [[0.000, 0.675, 0.175], [0.000, 0.325, 0.825], [0.000, 0.175, 0.325], [0.000, 0.825, 0.675], [0.000, 0.125, 0.625], [0.000, 0.875, 0.375], [0.000, 0.625, 0.875], [0.000, 0.375, 0.125], [0.000, 0.000, 0.000], [0.000, 0.500, 0.500], [0.500, 0.216, 0.069], [0.500, 0.784, 0.931], [0.500, 0.069, 0.784], [0.500, 0.716, 0.431], [0.500, 0.931, 0.216], [0.500, 0.284, 0.569], [0.500, 0.569, 0.716], [0.500, 0.431, 0.284], [0.500, 0.500, 0.000], [0.500, 0.000, 0.500]]
}

{
  "formula": "Sm6AgRh3",
  "functional": "PBE",
  "state": "optimized geometry",
  "mass_density_g_cm3": 7.9,
  "spacegroup": "No. 11",
  "relative_energy_ev_per_fu": 0.00,
  "magnetic_moment_mub_per_cell": 0.00,
  "formation_enthalpy_0k_ev_per_atom": -0.512,
  "lattice_angstrom": [[-1.296, 1.534, -3.616], [8.978, -5.451, -5.529], [-9.344, -7.396, 0.211]],
  "species": ["Sm", "Sm", "Sm", "Sm", "Sm", "Sm", "Sm", "Sm", "Sm", "Sm", "Sm", "Sm", "Ag", "Ag", "Rh", "Rh", "Rh", "Rh", "Rh", "Rh"],
  "frac_coords": [[0.750, 0.461, 0.599], [0.250, 0.539, 0.401], [0.750, 0.937, 0.101], [0.250, 0.063, 0.899], [0.750, 0.388, 0.042], [0.250, 0.612, 0.958], [0.750, 0.709, 0.265], [0.250, 0.291, 0.735], [0.750, 0.131, 0.456], [0.250, 0.869, 0.544], [0.750, 0.769, 0.771], [0.250, 0.231, 0.229], [0.750, 0.064, 0.697], [0.250, 0.936, 0.303], [0.750, 0.460, 0.831], [0.250, 0.540, 0.169], [0.750, 0.696, 0.511], [0.250, 0.304, 0.489], [0.750, 0.158, 0.067], [0.250, 0.842, 0.933]]
}

{
  "formula": "SmAg2Rh",
  "functional": "PBE",
  "state": "optimized geometry",
  "mass_density_g_cm3": 10.1,
  "spacegroup": "No. 123",
  "magnetic_moment_mub_per_cell": 0.00,
  "formation_enthalpy_0k_ev_per_atom": -0.330,
  "lattice_angstrom": [[-3.731, 2.240, 1.847], [-2.243, -3.334, -0.487], [1.072, -1.261, 3.694]],
  "species": ["Rh", "Ag", "Ag", "Sm"],
  "frac_coords": [[0.500, 0.500, 0.500], [0.000, 0.000, 0.500], [0.000, 0.500, 0.000], [0.500, 0.000, 0.000]]
}